The following is a PBE-GGA calculation of a relaxed AcAlAu4 crystal, from Alexandria.

abc: 4.7361 4.7361 7.4250
angles: 90.00 90.00 90.00
Last column: nearest neighbours and their distance in Å.
Positions (direct):
Ac (0.0000, 0.0000, 0.0000)  8 Au 3.59
Al (0.5000, 0.5000, 0.5000)  6 Au 2.37-2.41
Au (0.0000, 0.5000, 0.5000)  2 Al 2.37
Au (0.5000, 0.0000, 0.5000)  2 Al 2.37
Au (0.5000, 0.5000, 0.1756)  1 Al 2.41, 1 Au 2.61
Au (0.5000, 0.5000, 0.8244)  1 Al 2.41, 1 Au 2.61

As for the size of the total moment: 0.00 μB/f.u. As for the relative energy among the computed polymorphs: 0.246 eV per atom. For the calculated volume, the calculation gives 166.5 Å³/f.u. For the energy of formation, the calculation gives -142 meV per atom. For the density of states at the Fermi level, the calculation gives 0.45 states/eV/atom.